*i*
! Ce2PmNd (GGA-PBE, optimized geometry); values from VASP
! * magnetization: 0.95 μB per atom
! * DOS(E_F): 16.3 states/eV/f.u.
! * symmetry: Fm-3m, No. 225
&SYSTEM
  ibrav = 0, nat = 4, ntyp = 3
/
ATOMIC_SPECIES
Nd 144.24 Nd.upf
Ce 140.12 Ce.upf
Pm 145.00 Pm.upf
ATOMIC_POSITIONS crystal
Nd 0.500 0.500 0.500
Ce 0.250 0.250 0.250
Ce 0.750 0.750 0.750
Pm 0.000 0.000 0.000
CELL_PARAMETERS angstrom
5.731 0.000 0.000
2.865 4.963 0.000
2.865 1.654 4.679

=====

*ii*
! Ce2PmNd (GGA-PBE, optimized geometry); values from VASP
! * magnetization: 0.35 μB per atom
! * DOS(E_F): 10.7 states/eV/f.u.
! * symmetry: R3m, No. 160
&SYSTEM
  ibrav = 0, nat = 4, ntyp = 3
/
ATOMIC_SPECIES
Ce 140.12 Ce.upf
Pm 145.00 Pm.upf
Nd 144.24 Nd.upf
ATOMIC_POSITIONS crystal
Ce 0.084 0.084 0.749
Ce 0.250 0.250 0.251
Pm 0.499 0.499 0.504
Nd 0.668 0.668 0.996
CELL_PARAMETERS angstrom
-0.414 -3.450 -0.695
2.692 -1.872 -1.344
4.356 -4.391 10.168

=====

*iii*
! Ce2PmNd (GGA-PBE, optimized geometry); values from VASP
! * magnetization: 0.40 μB per atom
! * DOS(E_F): 11.0 states/eV/f.u.
! * symmetry: P4/mmm, No. 123
&SYSTEM
  ibrav = 0, nat = 4, ntyp = 3
/
ATOMIC_SPECIES
Nd 144.24 Nd.upf
Ce 140.12 Ce.upf
Pm 145.00 Pm.upf
ATOMIC_POSITIONS crystal
Nd 0.500 0.500 0.500
Ce 0.000 0.000 0.751
Ce 0.000 0.000 0.249
Pm 0.500 0.500 0.000
CELL_PARAMETERS angstrom
-2.785 -0.793 -1.978
1.693 -2.800 -1.261
-3.815 -5.767 7.681

=====

Most stable: *ii*. Least stable: *i*.

=====

*i*
! Ce2PmNd (GGA-PBE, optimized geometry); values from VASP
! * magnetization: 0.40 μB per atom
! * DOS(E_F): 10.6 states/eV/f.u.
! * symmetry: P4/mmm, No. 123
&SYSTEM
  ibrav = 0, nat = 4, ntyp = 3
/
ATOMIC_SPECIES
Nd 144.24 Nd.upf
Ce 140.12 Ce.upf
Pm 145.00 Pm.upf
ATOMIC_POSITIONS crystal
Nd 0.500 0.000 0.000
Ce 0.000 0.000 0.500
Ce 0.000 0.500 0.000
Pm 0.500 0.500 0.500
CELL_PARAMETERS angstrom
-0.130 4.590 -2.332
-3.598 -1.629 -3.005
-3.416 1.554 3.248

=====

*ii*
! Ce2PmNd (GGA-PBE, optimized geometry); values from VASP
! * magnetization: 0.39 μB per atom
! * DOS(E_F): 10.9 states/eV/f.u.
! * symmetry: R-3m, No. 166
&SYSTEM
  ibrav = 0, nat = 4, ntyp = 3
/
ATOMIC_SPECIES
Nd 144.24 Nd.upf
Ce 140.12 Ce.upf
Pm 145.00 Pm.upf
ATOMIC_POSITIONS crystal
Nd 0.000 0.000 0.000
Ce 0.087 0.087 0.739
Ce 0.913 0.913 0.261
Pm 0.500 0.500 0.500
CELL_PARAMETERS angstrom
-2.586 -1.222 1.890
-2.079 -2.402 -1.289
5.910 -10.075 4.684

=====

Most stable: *i*. Least stable: *ii*.

=====

*i*
! CeNdPt6 (GGA-PBE, optimized geometry); values from VASP
! * magnetization: 0.01 μB per atom
! * DOS(E_F): 3.6 states/eV/f.u.
! * symmetry: P4/mmm, No. 123
&SYSTEM
  ibrav = 0, nat = 8, ntyp = 3
/
ATOMIC_SPECIES
Ce 140.12 Ce.upf
Nd 144.24 Nd.upf
Pt 195.08 Pt.upf
ATOMIC_POSITIONS crystal
Ce 0.000 0.000 0.500
Nd 0.000 0.000 0.000
Pt 0.500 0.500 0.000
Pt 0.500 0.500 0.500
Pt 0.500 0.000 0.257
Pt 0.500 0.000 0.743
Pt 0.000 0.500 0.257
Pt 0.000 0.500 0.743
CELL_PARAMETERS angstrom
-2.090 -3.329 1.445
2.770 -0.386 3.117
-4.678 5.012 4.778

=====

*ii*
! CeNdPt6 (GGA-PBE, optimized geometry); values from VASP
! * magnetization: 0.00 μB per atom
! * DOS(E_F): 4.5 states/eV/f.u.
! * symmetry: Pm-3, No. 200
&SYSTEM
  ibrav = 0, nat = 8, ntyp = 3
/
ATOMIC_SPECIES
Ce 140.12 Ce.upf
Nd 144.24 Nd.upf
Pt 195.08 Pt.upf
ATOMIC_POSITIONS crystal
Ce 0.000 0.000 0.000
Nd 0.500 0.500 0.500
Pt 0.500 0.752 0.000
Pt 0.752 0.000 0.500
Pt 0.000 0.500 0.248
Pt 0.248 0.000 0.500
Pt 0.500 0.248 0.000
Pt 0.000 0.500 0.752
CELL_PARAMETERS angstrom
5.375 0.000 0.000
0.000 5.375 0.000
0.000 0.000 5.375

=====

Most stable: *i*. Least stable: *ii*.

=====

*i*
! CeNd2Pt (GGA-PBE, optimized geometry); values from VASP
! * magnetization: 0.23 μB per atom
! * DOS(E_F): 8.4 states/eV/f.u.
! * symmetry: Pnma, No. 62
&SYSTEM
  ibrav = 0, nat = 16, ntyp = 3
/
ATOMIC_SPECIES
Ce 140.12 Ce.upf
Nd 144.24 Nd.upf
Pt 195.08 Pt.upf
ATOMIC_POSITIONS crystal
Ce 0.650 0.529 0.250
Ce 0.850 0.029 0.250
Ce 0.350 0.471 0.750
Ce 0.150 0.971 0.750
Nd 0.168 0.683 0.062
Nd 0.332 0.183 0.438
Nd 0.832 0.317 0.562
Nd 0.668 0.817 0.938
Nd 0.832 0.317 0.938
Nd 0.668 0.817 0.562
Nd 0.168 0.683 0.438
Nd 0.332 0.183 0.062
Pt 0.051 0.377 0.250
Pt 0.449 0.877 0.250
Pt 0.949 0.623 0.750
Pt 0.551 0.123 0.750
CELL_PARAMETERS angstrom
-3.667 3.198 4.578
-5.297 -4.746 -0.927
3.916 -5.771 7.167

=====

*ii*
! CeNd2Pt (GGA-PBE, optimized geometry); values from VASP
! * magnetization: 0.35 μB per atom
! * DOS(E_F): 7.8 states/eV/f.u.
! * symmetry: P4/mmm, No. 123
&SYSTEM
  ibrav = 0, nat = 4, ntyp = 3
/
ATOMIC_SPECIES
Nd 144.24 Nd.upf
Ce 140.12 Ce.upf
Pt 195.08 Pt.upf
ATOMIC_POSITIONS crystal
Nd 0.000 0.000 0.799
Nd 0.000 0.000 0.201
Ce 0.500 0.500 0.500
Pt 0.500 0.500 0.000
CELL_PARAMETERS angstrom
3.647 0.000 0.000
0.000 3.647 0.000
0.000 0.000 8.513

=====

*iii*
! CeNd2Pt (GGA-PBE, optimized geometry); values from VASP
! * magnetization: 0.42 μB per atom
! * DOS(E_F): 8.7 states/eV/f.u.
! * symmetry: R-3m, No. 166
&SYSTEM
  ibrav = 0, nat = 4, ntyp = 3
/
ATOMIC_SPECIES
Nd 144.24 Nd.upf
Ce 140.12 Ce.upf
Pt 195.08 Pt.upf
ATOMIC_POSITIONS crystal
Nd 0.108 0.108 0.676
Nd 0.892 0.892 0.324
Ce 0.000 0.000 0.000
Pt 0.500 0.500 0.500
CELL_PARAMETERS angstrom
3.763 0.000 0.000
1.881 3.259 0.000
1.881 1.086 10.773

=====

*iv*
! CeNd2Pt (GGA-PBE, optimized geometry); values from VASP
! * magnetization: 0.46 μB per atom
! * DOS(E_F): 9.3 states/eV/f.u.
! * symmetry: R3m, No. 160
&SYSTEM
  ibrav = 0, nat = 4, ntyp = 3
/
ATOMIC_SPECIES
Ce 140.12 Ce.upf
Nd 144.24 Nd.upf
Pt 195.08 Pt.upf
ATOMIC_POSITIONS crystal
Ce 0.501 0.501 0.497
Nd 0.061 0.061 0.816
Nd 0.271 0.271 0.186
Pt 0.666 0.666 0.002
CELL_PARAMETERS angstrom
-3.573 -0.680 1.586
-0.315 -2.086 3.360
-0.580 7.125 6.711

=====

Most stable: *i*. Least stable: *iii*.

=====

*i*
! Ce3NdPt8 (GGA-PBE, optimized geometry); values from VASP
! * magnetization: 0.20 μB per atom
! * DOS(E_F): 17.8 states/eV/f.u.
! * symmetry: R3m, No. 160
&SYSTEM
  ibrav = 0, nat = 12, ntyp = 3
/
ATOMIC_SPECIES
Ce 140.12 Ce.upf
Nd 144.24 Nd.upf
Pt 195.08 Pt.upf
ATOMIC_POSITIONS crystal
Ce 0.374 0.374 0.879
Ce 0.002 0.002 0.995
Ce 0.498 0.498 0.505
Nd 0.876 0.876 0.372
Pt 0.937 0.438 0.187
Pt 0.438 0.937 0.687
Pt 0.438 0.438 0.187
Pt 0.937 0.937 0.687
Pt 0.187 0.187 0.438
Pt 0.688 0.688 0.937
Pt 0.438 0.937 0.187
Pt 0.937 0.438 0.687
CELL_PARAMETERS angstrom
-2.540 -4.876 0.068
1.309 -3.834 -3.718
5.897 -6.111 4.311

=====

*ii*
! Ce3NdPt8 (GGA-PBE, optimized geometry); values from VASP
! * magnetization: 0.20 μB per atom
! * DOS(E_F): 19.4 states/eV/f.u.
! * symmetry: P3m1, No. 156
&SYSTEM
  ibrav = 0, nat = 12, ntyp = 3
/
ATOMIC_SPECIES
Ce 140.12 Ce.upf
Nd 144.24 Nd.upf
Pt 195.08 Pt.upf
ATOMIC_POSITIONS crystal
Ce 0.667 0.333 0.434
Ce 0.667 0.333 0.058
Ce 0.000 0.000 0.940
Nd 0.000 0.000 0.565
Pt 0.333 0.667 0.500
Pt 0.333 0.667 0.001
Pt 0.501 0.002 0.751
Pt 0.501 0.499 0.751
Pt 0.998 0.499 0.751
Pt 0.166 0.332 0.249
Pt 0.166 0.834 0.249
Pt 0.668 0.834 0.249
CELL_PARAMETERS angstrom
-3.347 3.441 -2.660
-1.728 -5.039 1.316
-3.087 3.129 7.931

=====

Most stable: *i*. Least stable: *ii*.

=====

*i*
! CeNdPtRh (GGA-PBE, optimized geometry); values from VASP
! * magnetization: 0.09 μB per atom
! * DOS(E_F): 5.9 states/eV/f.u.
! * symmetry: Amm2, No. 38
&SYSTEM
  ibrav = 0, nat = 4, ntyp = 4
/
ATOMIC_SPECIES
Ce 140.12 Ce.upf
Nd 144.24 Nd.upf
Pt 195.08 Pt.upf
Rh 102.91 Rh.upf
ATOMIC_POSITIONS crystal
Ce 0.868 0.500 0.736
Nd 0.143 0.000 0.286
Pt 0.586 0.500 0.172
Rh 0.403 0.000 0.806
CELL_PARAMETERS angstrom
3.877 0.000 0.000
0.000 4.268 0.000
-1.938 0.000 5.627

=====

*ii*
! CeNdPtRh (GGA-PBE, optimized geometry); values from VASP
! * magnetization: 0.25 μB per atom
! * DOS(E_F): 7.9 states/eV/f.u.
! * symmetry: F-43m, No. 216
&SYSTEM
  ibrav = 0, nat = 4, ntyp = 4
/
ATOMIC_SPECIES
Rh 102.91 Rh.upf
Nd 144.24 Nd.upf
Ce 140.12 Ce.upf
Pt 195.08 Pt.upf
ATOMIC_POSITIONS crystal
Rh 0.250 0.250 0.250
Nd 0.500 0.500 0.500
Ce 0.000 0.000 0.000
Pt 0.750 0.750 0.750
CELL_PARAMETERS angstrom
5.028 0.000 0.000
2.514 4.355 0.000
2.514 1.452 4.106

=====

Most stable: *i*. Least stable: *ii*.

=====

*i*
! Ce2NdPu (GGA-PBE, optimized geometry); values from VASP
! * magnetization: 0.37 μB per atom
! * DOS(E_F): 10.1 states/eV/f.u.
! * symmetry: R-3m, No. 166
&SYSTEM
  ibrav = 0, nat = 4, ntyp = 3
/
ATOMIC_SPECIES
Nd 144.24 Nd.upf
Ce 140.12 Ce.upf
Pu 244.00 Pu.upf
ATOMIC_POSITIONS crystal
Nd 0.000 0.000 0.000
Ce 0.114 0.114 0.657
Ce 0.886 0.886 0.343
Pu 0.500 0.500 0.500
CELL_PARAMETERS angstrom
-2.384 -0.514 2.624
-0.002 -3.073 1.841
5.644 2.771 8.116

=====

*ii*
! Ce2NdPu (GGA-PBE, optimized geometry); values from VASP
! * magnetization: 2.06 μB per atom
! * DOS(E_F): 13.1 states/eV/f.u.
! * symmetry: P4/mmm, No. 123
&SYSTEM
  ibrav = 0, nat = 4, ntyp = 3
/
ATOMIC_SPECIES
Nd 144.24 Nd.upf
Ce 140.12 Ce.upf
Pu 244.00 Pu.upf
ATOMIC_POSITIONS crystal
Nd 0.500 0.500 0.500
Ce 0.000 0.000 0.500
Ce 0.000 0.500 0.000
Pu 0.500 0.000 0.000
CELL_PARAMETERS angstrom
-1.441 1.420 -2.874
-5.293 -1.102 2.110
-0.048 5.193 2.590

=====

*iii*
! Ce2NdPu (GGA-PBE, optimized geometry); values from VASP
! * magnetization: 1.19 μB per atom
! * DOS(E_F): 11.1 states/eV/f.u.
! * symmetry: P4/mmm, No. 123
&SYSTEM
  ibrav = 0, nat = 4, ntyp = 3
/
ATOMIC_SPECIES
Nd 144.24 Nd.upf
Ce 140.12 Ce.upf
Pu 244.00 Pu.upf
ATOMIC_POSITIONS crystal
Nd 0.500 0.500 0.500
Ce 0.000 0.000 0.778
Ce 0.000 0.000 0.222
Pu 0.500 0.500 0.000
CELL_PARAMETERS angstrom
-1.900 -0.477 -2.781
-0.528 -3.234 0.915
-7.978 2.713 4.985

=====

*iv*
! Ce2NdPu (GGA-PBE, optimized geometry); values from VASP
! * magnetization: 0.00 μB per atom
! * DOS(E_F): 7.5 states/eV/f.u.
! * symmetry: R3m, No. 160
&SYSTEM
  ibrav = 0, nat = 4, ntyp = 3
/
ATOMIC_SPECIES
Ce 140.12 Ce.upf
Nd 144.24 Nd.upf
Pu 244.00 Pu.upf
ATOMIC_POSITIONS crystal
Ce 0.113 0.113 0.660
Ce 0.222 0.222 0.334
Nd 0.663 0.663 0.012
Pu 0.502 0.502 0.495
CELL_PARAMETERS angstrom
3.653 0.000 0.000
1.826 3.163 0.000
1.826 1.054 9.467

=====

Most stable: *iii*. Least stable: *i*.

=====

*i*
! Ce2NdRe (GGA-PBE, optimized geometry); values from VASP
! * magnetization: 0.00 μB per atom
! * DOS(E_F): 9.2 states/eV/f.u.
! * symmetry: P4/mmm, No. 123
&SYSTEM
  ibrav = 0, nat = 4, ntyp = 3
/
ATOMIC_SPECIES
Re 186.21 Re.upf
Nd 144.24 Nd.upf
Ce 140.12 Ce.upf
ATOMIC_POSITIONS crystal
Re 0.500 0.500 0.000
Nd 0.500 0.500 0.500
Ce 0.000 0.000 0.806
Ce 0.000 0.000 0.194
CELL_PARAMETERS angstrom
-2.869 -0.844 1.689
-0.735 -2.332 -2.413
4.544 -6.207 4.616

=====

*ii*
! Ce2NdRe (GGA-PBE, optimized geometry); values from VASP
! * magnetization: 0.00 μB per atom
! * DOS(E_F): 7.0 states/eV/f.u.
! * symmetry: R-3m, No. 166
&SYSTEM
  ibrav = 0, nat = 4, ntyp = 3
/
ATOMIC_SPECIES
Re 186.21 Re.upf
Nd 144.24 Nd.upf
Ce 140.12 Ce.upf
ATOMIC_POSITIONS crystal
Re 0.000 0.000 0.000
Nd 0.500 0.500 0.500
Ce 0.265 0.265 0.206
Ce 0.735 0.735 0.794
CELL_PARAMETERS angstrom
-2.304 -1.727 -3.740
-2.996 -3.608 0.533
-5.595 1.525 -0.236

=====

Most stable: *i*. Least stable: *ii*.

=====

*i*
! CeNd2Rh2 (GGA-PBE, optimized geometry); values from VASP
! * magnetization: 0.00 μB per atom
! * DOS(E_F): 5.2 states/eV/f.u.
! * symmetry: C2/m, No. 12
&SYSTEM
  ibrav = 0, nat = 10, ntyp = 3
/
ATOMIC_SPECIES
Ce 140.12 Ce.upf
Nd 144.24 Nd.upf
Rh 102.91 Rh.upf
ATOMIC_POSITIONS crystal
Ce 0.797 0.053 0.352
Ce 0.203 0.947 0.648
Nd 0.333 0.263 0.071
Nd 0.460 0.392 0.688
Nd 0.667 0.737 0.929
Nd 0.540 0.608 0.312
Rh 0.008 0.114 0.869
Rh 0.131 0.298 0.439
Rh 0.992 0.886 0.131
Rh 0.869 0.702 0.561
CELL_PARAMETERS angstrom
-2.416 -0.131 -3.058
-2.579 -6.353 -0.177
-8.744 2.490 4.316

=====

*ii*
! CeNd2Rh2 (GGA-PBE, optimized geometry); values from VASP
! * magnetization: 0.00 μB per atom
! * DOS(E_F): 6.5 states/eV/f.u.
! * symmetry: C2/c, No. 15
&SYSTEM
  ibrav = 0, nat = 10, ntyp = 3
/
ATOMIC_SPECIES
Ce 140.12 Ce.upf
Nd 144.24 Nd.upf
Rh 102.91 Rh.upf
ATOMIC_POSITIONS crystal
Ce 0.081 0.919 0.250
Ce 0.919 0.081 0.750
Nd 0.453 0.237 0.149
Nd 0.763 0.547 0.351
Nd 0.547 0.763 0.851
Nd 0.237 0.453 0.649
Rh 0.731 0.961 0.524
Rh 0.039 0.269 0.976
Rh 0.269 0.039 0.476
Rh 0.961 0.731 0.024
CELL_PARAMETERS angstrom
6.395 0.331 0.900
3.105 5.601 0.900
0.196 0.122 7.387

=====

Most stable: *ii*. Least stable: *i*.

=====

*i*
! CeNdRu (GGA-PBE, optimized geometry); values from VASP
! * magnetization: 0.00 μB per atom
! * DOS(E_F): 4.4 states/eV/f.u.
! * symmetry: I4mm, No. 107
&SYSTEM
  ibrav = 0, nat = 3, ntyp = 3
/
ATOMIC_SPECIES
Ru 101.07 Ru.upf
Nd 144.24 Nd.upf
Ce 140.12 Ce.upf
ATOMIC_POSITIONS crystal
Ru 0.689 0.689 0.378
Nd 0.009 0.009 0.018
Ce 0.302 0.302 0.604
CELL_PARAMETERS angstrom
3.560 0.000 0.000
0.000 3.560 0.000
-1.780 -1.780 5.637

=====

*ii*
! CeNdRu (GGA-PBE, optimized geometry); values from VASP
! * magnetization: 0.00 μB per atom
! * DOS(E_F): 3.3 states/eV/f.u.
! * symmetry: P3m1, No. 156
&SYSTEM
  ibrav = 0, nat = 3, ntyp = 3
/
ATOMIC_SPECIES
Ru 101.07 Ru.upf
Nd 144.24 Nd.upf
Ce 140.12 Ce.upf
ATOMIC_POSITIONS crystal
Ru 0.166 0.667 0.333
Nd 0.667 0.333 0.667
Ce 0.167 0.000 0.000
CELL_PARAMETERS angstrom
-2.754 -4.176 -0.554
3.581 -2.233 -0.968
-1.308 0.316 4.116

=====

*iii*
! CeNdRu (GGA-PBE, optimized geometry); values from VASP
! * magnetization: 0.22 μB per atom
! * DOS(E_F): 6.6 states/eV/f.u.
! * symmetry: F-43m, No. 216
&SYSTEM
  ibrav = 0, nat = 3, ntyp = 3
/
ATOMIC_SPECIES
Ru 101.07 Ru.upf
Nd 144.24 Nd.upf
Ce 140.12 Ce.upf
ATOMIC_POSITIONS crystal
Ru 0.250 0.250 0.250
Nd 0.000 0.000 0.000
Ce 0.500 0.500 0.500
CELL_PARAMETERS angstrom
4.869 0.000 0.000
2.434 4.217 0.000
2.434 1.406 3.975

=====

Most stable: *i*. Least stable: *iii*.